Model 1:
The following is a DFT calculation (GGA-PBE) of a relaxed structure of MgAg2N2.

Calculated values
SG: I4/mmm
DOS at the Fermi energy in states/eV per atom: 0.217
Total magnetization in μB/atom: 0.00

Unit cell a=4.217 b=4.217 c=5.813 alpha=68.73 beta=68.73 gamma=90.00
Fractional coordinates of all 5 atoms:
1 N 0.558 0.558 0.884
2 N 0.442 0.442 0.116
3 Ag 0.250 0.750 0.500
4 Ag 0.750 0.250 0.500
5 Mg 0.000 0.000 0.000



Model 2:
The following is a DFT calculation (GGA-PBE) of a relaxed structure of MgAg2N2.

Calculated values
SG: P4/mbm
DOS at the Fermi energy in states/eV per atom: 0.365
Total magnetization in μB/atom: 0.00

Unit cell a=6.067 b=6.067 c=3.525 alpha=90.00 beta=90.00 gamma=90.00
Fractional coordinates of all 10 atoms:
1 Ag 0.156 0.656 0.500
2 Ag 0.844 0.344 0.500
3 Ag 0.344 0.156 0.500
4 Ag 0.656 0.844 0.500
5 N 0.328 0.828 0.000
6 N 0.172 0.328 0.000
7 N 0.672 0.172 0.000
8 N 0.828 0.672 0.000
9 Mg 0.000 0.000 0.000
10 Mg 0.500 0.500 0.000



Energy comparison, zero being the most stable, in meV per atom: model 1 0; model 2 300.



Model 1:
The following is a DFT calculation (GGA-PBE) of a relaxed structure of MgNi2AgN.

Calculated values
SG: P4/mmm
DOS at the Fermi energy in states/eV per atom: 0.755
Total magnetization in μB/atom: 0.00

Unit cell a=3.839 b=3.839 c=4.193 alpha=90.00 beta=90.00 gamma=90.00
Fractional coordinates of all 5 atoms:
1 N 0.000 0.000 0.000
2 Ni 0.500 0.000 0.000
3 Ni 0.000 0.500 0.000
4 Ag 0.500 0.500 0.500
5 Mg 0.000 0.000 0.500



Model 2:
The following is a DFT calculation (GGA-PBE) of a relaxed structure of MgNi2AgN.

Calculated values
SG: P4/mmm
DOS at the Fermi energy in states/eV per atom: 1.093
Total magnetization in μB/atom: 0.09

Unit cell a=4.758 b=3.826 c=4.758 alpha=90.00 beta=90.00 gamma=90.00
Fractional coordinates of all 5 atoms:
1 Ag 0.000 0.000 0.000
2 Mg 0.500 0.500 0.500
3 N 0.000 0.500 0.000
4 Ni 0.500 0.000 0.000
5 Ni 0.000 0.000 0.500



Energy comparison, zero being the most stable, in meV per atom: model 1 0; model 2 1486.



Model 1:
The following is a DFT calculation (GGA-PBE) of a relaxed structure of MgAgS2N.

Calculated values
SG: P4/mmm
DOS at the Fermi energy in states/eV per atom: 0.668
Total magnetization in μB/atom: 0.36

Unit cell a=4.975 b=4.975 c=3.969 alpha=90.00 beta=90.00 gamma=90.00
Fractional coordinates of all 5 atoms:
1 Ag 0.000 0.000 0.000
2 S 0.500 0.000 0.000
3 S 0.000 0.500 0.000
4 N 0.000 0.000 0.500
5 Mg 0.500 0.500 0.500



Model 2:
The following is a DFT calculation (GGA-PBE) of a relaxed structure of MgAgS2N.

Calculated values
SG: P4/mmm
DOS at the Fermi energy in states/eV per atom: 1.111
Total magnetization in μB/atom: 0.00

Unit cell a=4.867 b=4.867 c=3.923 alpha=90.00 beta=90.00 gamma=90.00
Fractional coordinates of all 5 atoms:
1 S 0.000 0.500 0.000
2 S 0.500 0.000 0.000
3 Ag 0.500 0.500 0.500
4 Mg 0.000 0.000 0.000
5 N 0.000 0.000 0.500



Energy comparison, zero being the most stable, in meV per atom: model 1 0; model 2 52.



Model 1:
The following is a DFT calculation (GGA-PBE) of a relaxed structure of MgAgTe2N.

Calculated values
SG: P4/mmm
DOS at the Fermi energy in states/eV per atom: 0.761
Total magnetization in μB/atom: 0.28

Unit cell a=5.665 b=5.665 c=3.935 alpha=90.00 beta=90.00 gamma=90.00
Fractional coordinates of all 5 atoms:
1 N 0.000 0.000 0.500
2 Te 0.000 0.500 0.000
3 Te 0.500 0.000 0.000
4 Mg 0.500 0.500 0.500
5 Ag 0.000 0.000 0.000



Model 2:
The following is a DFT calculation (GGA-PBE) of a relaxed structure of MgAgTe2N.

Calculated values
SG: P4/mmm
DOS at the Fermi energy in states/eV per atom: 0.788
Total magnetization in μB/atom: 0.33

Unit cell a=5.706 b=5.706 c=3.861 alpha=90.00 beta=90.00 gamma=90.00
Fractional coordinates of all 5 atoms:
1 Ag 0.500 0.500 0.500
2 Te 0.000 0.500 0.000
3 Te 0.500 0.000 0.000
4 Mg 0.000 0.000 0.000
5 N 0.000 0.000 0.500



Energy comparison, zero being the most stable, in meV per atom: model 1 110; model 2 0.



Model 1:
The following is a DFT calculation (GGA-PBE) of a relaxed structure of NaMgAg4.

Calculated values
SG: Pmma
DOS at the Fermi energy in states/eV per atom: 0.267
Total magnetization in μB/atom: 0.00

Unit cell a=4.079 b=7.287 c=8.225 alpha=90.00 beta=90.00 gamma=90.00
Fractional coordinates of all 12 atoms:
1 Ag 0.500 0.027 0.250
2 Ag 0.500 0.694 0.474
3 Ag 0.000 0.000 0.000
4 Ag 0.500 0.306 0.526
5 Ag 0.500 0.694 0.026
6 Ag 0.000 0.000 0.500
7 Ag 0.500 0.973 0.750
8 Ag 0.500 0.306 0.974
9 Na 0.000 0.660 0.750
10 Na 0.000 0.340 0.250
11 Mg 0.000 0.748 0.250
12 Mg 0.000 0.252 0.750



Model 2:
The following is a DFT calculation (GGA-PBE) of a relaxed structure of NaMgAg4.

Calculated values
SG: C2/c
DOS at the Fermi energy in states/eV per atom: 0.373
Total magnetization in μB/atom: 0.00

Unit cell a=7.772 b=7.330 c=5.519 alpha=48.38 beta=83.49 gamma=80.18
Fractional coordinates of all 12 atoms:
1 Na 0.250 0.916 0.167
2 Na 0.750 0.084 0.833
3 Ag 0.509 0.178 0.171
4 Ag 0.127 0.114 0.513
5 Ag 0.991 0.651 0.171
6 Ag 0.373 0.374 0.513
7 Ag 0.491 0.822 0.829
8 Ag 0.627 0.626 0.487
9 Ag 0.873 0.886 0.487
10 Ag 0.009 0.349 0.829
11 Mg 0.250 0.559 0.882
12 Mg 0.750 0.441 0.118



Model 3:
The following is a DFT calculation (GGA-PBE) of a relaxed structure of NaMgAg4.

Calculated values
SG: F-43m
DOS at the Fermi energy in states/eV per atom: 0.438
Total magnetization in μB/atom: 0.00

Unit cell a=5.605 b=5.605 c=5.605 alpha=60.00 beta=60.00 gamma=60.00
Fractional coordinates of all 6 atoms:
1 Ag 0.625 0.625 0.625
2 Ag 0.124 0.625 0.625
3 Ag 0.625 0.124 0.625
4 Ag 0.625 0.625 0.124
5 Na 0.250 0.250 0.250
6 Mg 0.000 0.000 0.000



Energy comparison, zero being the most stable, in meV per atom: model 1 60; model 2 29; model 3 0.



Model 1:
The following is a DFT calculation (GGA-PBE) of a relaxed structure of NaMg3Ag.

Calculated values
SG: Pm-3m
DOS at the Fermi energy in states/eV per atom: 0.449
Total magnetization in μB/atom: 0.00

Unit cell a=5.218 b=5.218 c=5.218 alpha=90.00 beta=90.00 gamma=90.00
Fractional coordinates of all 5 atoms:
1 Mg 0.000 0.000 0.500
2 Mg 0.000 0.500 0.000
3 Mg 0.500 0.000 0.000
4 Ag 0.000 0.000 0.000
5 Na 0.500 0.500 0.500



Model 2:
The following is a DFT calculation (GGA-PBE) of a relaxed structure of NaMg3Ag.

Calculated values
SG: Pm-3m
DOS at the Fermi energy in states/eV per atom: 0.429
Total magnetization in μB/atom: 0.00

Unit cell a=5.289 b=5.289 c=5.289 alpha=90.00 beta=90.00 gamma=90.00
Fractional coordinates of all 5 atoms:
1 Na 0.000 0.000 0.000
2 Mg 0.500 0.000 0.000
3 Mg 0.000 0.500 0.000
4 Mg 0.000 0.000 0.500
5 Ag 0.500 0.500 0.500



Energy comparison, zero being the most stable, in meV per atom: model 1 0; model 2 691.